GGA-PBE Ce2SnSb4, optimized geometry; Fermi-level density of states = 1.204 states/eV/atom; energy above the most stable polymorph in this dataset = 0.000 eV per atom; total magnetic moment = 0.68 μB/f.u.; SG = C2/m, No. 12; formation energy (no corrections) = -0.598 eV/atom; volume = 29.12 A^3/atom
1.0
4.427 -4.803 0.000
4.427 4.803 0.000
-4.402 0.000 4.794
Ce Sn Sb
2 1 4
direct
0.000 0.500 0.000
0.500 0.000 0.000
0.000 0.000 0.500
0.000 0.000 0.000
0.000 0.500 0.500
0.500 0.000 0.500
0.500 0.500 0.000

GGA-PBE Ce8Sn2Sb, optimized geometry; Fermi-level density of states = 3.057 states/eV/atom; total magnetic moment = 4.81 μB/f.u.; SG = C2/m, No. 12; formation energy (no corrections) = -0.334 eV/atom; volume = 29.16 A^3/atom
1.0
4.287 -7.030 0.000
4.287 7.030 0.000
-2.258 0.000 5.321
Ce Sn Sb
8 2 1
direct
0.082 0.275 0.590
0.229 0.771 0.000
0.275 0.082 0.590
0.406 0.406 0.145
0.594 0.594 0.855
0.725 0.918 0.410
0.771 0.229 0.000
0.918 0.725 0.410
0.311 0.689 0.500
0.689 0.311 0.500
0.000 0.000 0.000

GGA-PBE Ce4SnSb3, optimized geometry; Fermi-level density of states = 2.937 states/eV/atom; total magnetic moment = 2.83 μB/f.u.; SG = Pm-3m, No. 221; formation energy (no corrections) = -0.900 eV/atom; volume = 32.15 A^3/atom
1.0
6.359 0.000 0.000
0.000 6.359 0.000
0.000 0.000 6.359
Ce Sn Sb
4 1 3
direct
0.000 0.000 0.000
0.000 0.500 0.500
0.500 0.000 0.500
0.500 0.500 0.000
0.500 0.500 0.500
0.000 0.000 0.500
0.000 0.500 0.000
0.500 0.000 0.000

GGA-PBE Ce2Sn4Sb, optimized geometry; Fermi-level density of states = 1.489 states/eV/atom; total magnetic moment = 1.03 μB/f.u.; SG = C2/m, No. 12; formation energy (no corrections) = -0.464 eV/atom; volume = 28.88 A^3/atom
1.0
4.602 -4.597 0.000
4.602 4.597 0.000
-4.589 0.000 4.778
Ce Sn Sb
2 4 1
direct
0.000 0.500 0.000
0.500 0.000 0.000
0.000 0.000 0.500
0.000 0.500 0.500
0.500 0.000 0.500
0.500 0.500 0.500
0.000 0.000 0.000

GGA-PBE Ce7Sn3Sb, optimized geometry; Fermi-level density of states = 2.850 states/eV/atom; total magnetic moment = 6.19 μB/f.u.; SG = Immm, No. 71; formation energy (no corrections) = -0.469 eV/atom; volume = 30.56 A^3/atom
1.0
-3.033 4.596 6.029
3.033 -4.596 6.029
3.033 4.596 -6.029
Ce Sn Sb
7 3 1
direct
0.000 0.000 0.000
0.110 0.755 0.355
0.350 0.500 0.850
0.400 0.755 0.645
0.600 0.245 0.355
0.650 0.500 0.150
0.890 0.245 0.645
0.261 0.261 0.000
0.500 0.000 0.500
0.739 0.739 0.000
0.000 0.500 0.500

GGA-PBE Ce6SnSb3, optimized geometry; Fermi-level density of states = 3.659 states/eV/atom; total magnetic moment = 7.55 μB/f.u.; SG = P2_1/c, No. 14; formation energy (no corrections) = -0.555 eV/atom; volume = 31.49 A^3/atom
1.0
7.694 0.000 0.000
0.000 8.819 0.000
-7.627 0.000 9.283
Ce Sn Sb
12 2 6
direct
0.016 0.128 0.250
0.016 0.372 0.750
0.225 0.685 0.062
0.225 0.815 0.562
0.397 0.181 0.061
0.397 0.319 0.561
0.603 0.681 0.439
0.603 0.819 0.939
0.775 0.185 0.438
0.775 0.315 0.938
0.984 0.628 0.250
0.984 0.872 0.750
0.500 0.000 0.500
0.500 0.500 0.000
0.000 0.000 0.000
0.000 0.500 0.500
0.300 0.110 0.750
0.300 0.390 0.250
0.700 0.610 0.750
0.700 0.890 0.250

GGA-PBE Ce5SnSb2, optimized geometry; Fermi-level density of states = 2.629 states/eV/atom; total magnetic moment = 3.10 μB/f.u.; SG = Cmcm, No. 63; formation energy (no corrections) = -0.353 eV/atom; volume = 29.32 A^3/atom
1.0
2.949 -5.602 0.000
2.949 5.602 0.000
0.000 0.000 14.198
Ce Sn Sb
10 2 4
direct
0.066 0.934 0.750
0.100 0.900 0.051
0.100 0.900 0.449
0.426 0.574 0.080
0.426 0.574 0.420
0.574 0.426 0.580
0.574 0.426 0.920
0.900 0.100 0.551
0.900 0.100 0.949
0.934 0.066 0.250
0.240 0.760 0.250
0.760 0.240 0.750
0.291 0.709 0.617
0.291 0.709 0.883
0.709 0.291 0.117
0.709 0.291 0.383

GGA-PBE Ce5Sn2Sb2, optimized geometry; Fermi-level density of states = 3.298 states/eV/atom; energy above the most stable polymorph in this dataset = 0.040 eV per atom; total magnetic moment = 5.80 μB/f.u.; SG = Cmce, No. 64; formation energy (no corrections) = -0.729 eV/atom; volume = 30.82 A^3/atom
1.0
7.927 -4.169 0.000
7.927 4.169 0.000
0.000 0.000 8.393
Ce Sn Sb
10 4 4
direct
0.000 0.000 0.000
0.033 0.694 0.667
0.194 0.533 0.167
0.306 0.967 0.667
0.467 0.806 0.167
0.500 0.500 0.500
0.533 0.194 0.833
0.694 0.033 0.333
0.806 0.467 0.833
0.967 0.306 0.333
0.204 0.204 0.000
0.296 0.296 0.500
0.704 0.704 0.500
0.796 0.796 0.000
0.136 0.864 0.362
0.364 0.636 0.862
0.636 0.364 0.138
0.864 0.136 0.638

GGA-PBE Ce4Sn5Sb, optimized geometry; Fermi-level density of states = 1.850 states/eV/atom; energy above the most stable polymorph in this dataset = 0.075 eV per atom; total magnetic moment = 1.83 μB/f.u.; SG = Immm, No. 71; formation energy (no corrections) = -0.552 eV/atom; volume = 29.84 A^3/atom
1.0
-2.241 5.518 6.033
2.241 -5.518 6.033
2.241 5.518 -6.033
Ce Sn Sb
4 5 1
direct
0.250 0.250 0.000
0.292 0.000 0.292
0.708 0.000 0.708
0.750 0.750 0.000
0.011 0.318 0.693
0.375 0.682 0.693
0.500 0.500 0.000
0.625 0.318 0.307
0.989 0.682 0.307
0.000 0.000 0.000

GGA-PBE Ce8Sn4Sb3, optimized geometry; Fermi-level density of states = 2.951 states/eV/atom; total magnetic moment = 6.76 μB/f.u.; SG = C2/m, No. 12; formation energy (no corrections) = -0.589 eV/atom; volume = 33.94 A^3/atom
1.0
6.333 -6.337 0.000
6.333 6.337 0.000
-6.284 0.000 6.342
Ce Sn Sb
8 4 3
direct
0.248 0.248 0.496
0.249 0.249 0.000
0.249 0.751 0.000
0.250 0.750 0.500
0.750 0.250 0.500
0.751 0.249 0.000
0.751 0.751 0.000
0.752 0.752 0.504
0.000 0.000 0.000
0.000 0.500 0.000
0.500 0.000 0.000
0.500 0.500 0.500
0.000 0.000 0.500
0.000 0.500 0.500
0.500 0.000 0.500

GGA-PBE Ce6SnSb2, optimized geometry; Fermi-level density of states = 2.575 states/eV/atom; energy above the most stable polymorph in this dataset = 0.219 eV per atom; total magnetic moment = 3.83 μB/f.u.; SG = P6/mmm, No. 191; formation energy (no corrections) = -0.375 eV/atom; volume = 25.34 A^3/atom
1.0
8.989 0.000 0.000
-4.494 7.784 0.000
0.000 0.000 3.259
Ce Sn Sb
6 1 2
direct
0.000 0.336 0.000
0.000 0.664 0.000
0.336 0.000 0.000
0.336 0.336 0.000
0.664 0.000 0.000
0.664 0.664 0.000
0.000 0.000 0.500
0.333 0.667 0.500
0.667 0.333 0.500

GGA-PBE Ce8SnSb5, optimized geometry; Fermi-level density of states = 4.054 states/eV/atom; total magnetic moment = 11.56 μB/f.u.; SG = I-4, No. 82; formation energy (no corrections) = -0.857 eV/atom; volume = 30.41 A^3/atom
1.0
-4.737 4.737 4.744
4.737 -4.737 4.744
4.737 4.737 -4.744
Ce Sn Sb
8 1 5
direct
0.126 0.228 0.752
0.126 0.728 0.751
0.272 0.023 0.398
0.476 0.374 0.248
0.625 0.874 0.602
0.626 0.874 0.102
0.772 0.524 0.898
0.977 0.375 0.249
0.750 0.250 0.500
0.000 0.000 0.000
0.250 0.626 0.126
0.374 0.500 0.624
0.500 0.124 0.874
0.876 0.750 0.376

GGA-PBE Ce6SnSb2, optimized geometry; Fermi-level density of states = 3.302 states/eV/atom; energy above the most stable polymorph in this dataset = 0.000 eV per atom; total magnetic moment = 6.73 μB/f.u.; SG = Amm2, No. 38; formation energy (no corrections) = -0.595 eV/atom; volume = 29.65 A^3/atom
1.0
4.361 0.000 0.000
0.000 7.112 4.302
0.000 -7.112 4.302
Ce Sn Sb
6 1 2
direct
0.000 0.000 0.000
0.000 0.435 0.631
0.000 0.631 0.435
0.500 0.111 0.698
0.500 0.228 0.228
0.500 0.698 0.111
0.500 0.740 0.740
0.000 0.376 0.996
0.000 0.996 0.376

GGA-PBE CeSnSb2, optimized geometry; Fermi-level density of states = 2.111 states/eV/atom; energy above the most stable polymorph in this dataset = 0.808 eV per atom; total magnetic moment = 1.27 μB/f.u.; SG = R-3m, No. 166; formation energy (no corrections) = 0.231 eV/atom; volume = 32.92 A^3/atom
1.0
1.923 1.110 10.277
-1.923 1.110 10.277
0.000 -2.221 10.277
Ce Sn Sb
1 1 2
direct
0.000 0.000 0.000
0.500 0.500 0.500
0.101 0.101 0.101
0.899 0.899 0.899

GGA-PBE Ce2SnSb5, optimized geometry; Fermi-level density of states = 0.905 states/eV/atom; total magnetic moment = 0.00 μB/f.u.; SG = I4/mmm, No. 139; formation energy (no corrections) = -0.562 eV/atom; volume = 26.72 A^3/atom
1.0
-3.442 3.442 4.511
3.442 -3.442 4.511
3.442 3.442 -4.511
Ce Sn Sb
2 1 5
direct
0.000 0.500 0.500
0.500 0.000 0.500
0.000 0.000 0.000
0.000 0.000 0.500
0.000 0.500 0.000
0.500 0.000 0.000
0.500 0.500 0.000
0.500 0.500 0.500

GGA-PBE CeSnSb2, optimized geometry; Fermi-level density of states = 1.321 states/eV/atom; energy above the most stable polymorph in this dataset = 0.073 eV per atom; total magnetic moment = 0.67 μB/f.u.; SG = P4/mmm, No. 123; formation energy (no corrections) = -0.504 eV/atom; volume = 27.74 A^3/atom
1.0
4.142 0.000 0.000
0.000 4.142 0.000
0.000 0.000 6.466
Ce Sn Sb
1 1 2
direct
0.000 0.000 0.000
0.000 0.000 0.500
0.500 0.500 0.243
0.500 0.500 0.757

GGA-PBE Ce7SnSb3, optimized geometry; Fermi-level density of states = 2.868 states/eV/atom; total magnetic moment = 5.75 μB/f.u.; SG = Immm, No. 71; formation energy (no corrections) = -0.583 eV/atom; volume = 30.52 A^3/atom
1.0
-3.032 4.576 6.049
3.032 -4.576 6.049
3.032 4.576 -6.049
Ce Sn Sb
7 1 3
direct
0.000 0.000 0.000
0.112 0.756 0.357
0.353 0.500 0.853
0.399 0.756 0.643
0.601 0.244 0.357
0.647 0.500 0.147
0.888 0.244 0.643
0.000 0.500 0.500
0.260 0.260 0.000
0.500 0.000 0.500
0.740 0.740 0.000

GGA-PBE CeSn2Sb2, optimized geometry; Fermi-level density of states = 1.193 states/eV/atom; total magnetic moment = 0.48 μB/f.u.; SG = Cmcm, No. 63; formation energy (no corrections) = -0.433 eV/atom; volume = 27.67 A^3/atom
1.0
2.244 -13.830 0.000
2.244 13.830 0.000
0.000 0.000 4.459
Ce Sn Sb
2 4 4
direct
0.159 0.841 0.750
0.841 0.159 0.250
0.055 0.945 0.250
0.452 0.548 0.250
0.548 0.452 0.750
0.945 0.055 0.750
0.250 0.750 0.250
0.358 0.642 0.750
0.642 0.358 0.250
0.750 0.250 0.750

GGA-PBE Ce4SnSb2Te, optimized geometry; Fermi-level density of states = 3.201 states/eV/atom; total magnetic moment = 3.32 μB/f.u.; SG = P2/m, No. 10; formation energy (no corrections) = -1.004 eV/atom; volume = 32.25 A^3/atom
1.0
7.777 0.000 0.000
0.000 4.514 0.000
-2.612 0.000 7.349
Ce Sn Sb Te
4 1 2 1
direct
0.247 0.000 0.247
0.248 0.500 0.751
0.752 0.500 0.249
0.753 0.000 0.753
0.000 0.000 0.500
0.000 0.500 0.000
0.500 0.000 0.000
0.500 0.500 0.500

GGA-PBE SrCeSb2, optimized geometry; Fermi-level density of states = 1.512 states/eV/atom; energy above the most stable polymorph in this dataset = 0.158 eV per atom; total magnetic moment = 0.70 μB/f.u.; SG = P4/mmm, No. 123; formation energy (no corrections) = -0.852 eV/atom; volume = 31.00 A^3/atom
1.0
4.044 0.000 0.000
0.000 4.044 0.000
0.000 0.000 7.582
Sr Ce Sb
1 1 2
direct
0.000 0.000 0.000
0.000 0.000 0.500
0.500 0.500 0.273
0.500 0.500 0.727